1.
The following is a DFT calculation (PBEsol) of a geometry-optimized BaIn2Rh structure.

Cell and atoms, written as POSCAR:
```
BaIn2Rh
1.0
2.228 -5.656 0.000
2.228 5.656 0.000
0.000 0.000 7.966
Ba In Rh
2 4 2
direct
0.053 0.947 0.750
0.947 0.053 0.250
0.336 0.664 0.555
0.336 0.664 0.945
0.664 0.336 0.055
0.664 0.336 0.445
0.216 0.784 0.250
0.784 0.216 0.750
```

Calculated values
Its formation energy is -45.4 kJ/mol of atoms. Its space group is Cmcm.



2.
The following is a DFT calculation (PBEsol) of a geometry-optimized Ba2InRh structure.

Cell and atoms, written as POSCAR:
```
Ba2InRh
1.0
0.000 3.777 3.777
3.777 0.000 3.777
3.777 3.777 0.000
Ba In Rh
2 1 1
direct
0.000 0.000 0.000
0.250 0.250 0.250
0.750 0.750 0.750
0.500 0.500 0.500
```

Calculated values
Its formation energy is -1.1 kJ/mol of atoms. Its space group is F-43m.



3.
The following is a DFT calculation (PBEsol) of a geometry-optimized Ba2InRh structure.

Cell and atoms, written as POSCAR:
```
Ba2InRh
1.0
4.352 -2.127 0.000
4.352 2.127 0.000
-2.491 0.000 8.244
Ba In Rh
2 1 1
direct
0.000 0.000 0.000
0.149 0.149 0.521
0.379 0.379 0.261
0.688 0.688 0.262
```

Calculated values
Its formation energy is -28.6 kJ/mol of atoms. Its space group is Cm.



4.
The following is a DFT calculation (PBEsol) of a geometry-optimized BaIn2Rh structure.

Cell and atoms, written as POSCAR:
```
BaIn2Rh
1.0
3.410 0.000 0.000
0.000 3.410 0.000
0.000 0.000 8.155
Ba In Rh
1 2 1
direct
0.000 0.000 0.000
0.500 0.500 0.321
0.500 0.500 0.679
0.000 0.000 0.500
```

Calculated values
Its formation energy is -30.3 kJ/mol of atoms. Its space group is P4/mmm.



5.
The following is a DFT calculation (PBEsol) of a geometry-optimized Ba2InRh structure.

Cell and atoms, written as POSCAR:
```
Ba2InRh
1.0
-2.235 2.772 4.816
2.235 -2.772 4.816
2.235 2.772 -4.816
Ba In Rh
2 1 1
direct
0.212 0.212 0.000
0.788 0.788 0.000
0.500 0.000 0.500
0.000 0.500 0.500
```

Calculated values
Its formation energy is -1.6 kJ/mol of atoms. Its space group is Immm.



6.
The following is a DFT calculation (PBEsol) of a geometry-optimized BaIn2Rh structure.

Cell and atoms, written as POSCAR:
```
BaIn2Rh
1.0
2.324 1.341 5.885
-2.324 1.341 5.885
0.000 -2.683 5.885
Ba In Rh
1 2 1
direct
0.000 0.000 0.000
0.202 0.202 0.202
0.463 0.463 0.463
0.820 0.820 0.820
```

Calculated values
Its formation energy is -35.6 kJ/mol of atoms. Its space group is R3m.



7.
The following is a DFT calculation (PBEsol) of a geometry-optimized BaIn3Ru structure.

Cell and atoms, written as POSCAR:
```
BaIn3Ru
1.0
5.137 0.000 0.000
0.000 5.137 0.000
0.000 0.000 5.137
Ba In Ru
1 3 1
direct
0.000 0.000 0.000
0.000 0.500 0.500
0.500 0.000 0.500
0.500 0.500 0.000
0.500 0.500 0.500
```

Calculated values
Its formation energy is -26.2 kJ/mol of atoms. Its space group is Pm-3m.



8.
The following is a DFT calculation (PBEsol) of a geometry-optimized BaIn2S4 structure.

Cell and atoms, written as POSCAR:
```
BaIn2S4
1.0
0.000 10.773 10.899
6.533 0.000 10.899
6.533 10.773 0.000
Ba In S
8 16 32
direct
0.122 0.122 0.628
0.125 0.125 0.125
0.372 0.372 0.878
0.375 0.375 0.375
0.625 0.625 0.625
0.628 0.628 0.122
0.875 0.875 0.875
0.878 0.878 0.372
0.035 0.465 0.857
0.112 0.386 0.363
0.143 0.857 0.465
0.143 0.857 0.965
0.362 0.637 0.614
0.363 0.638 0.112
0.386 0.112 0.638
0.465 0.035 0.143
0.535 0.965 0.857
0.614 0.888 0.362
0.637 0.362 0.888
0.638 0.363 0.386
0.857 0.143 0.035
0.857 0.143 0.535
0.888 0.614 0.637
0.965 0.535 0.143
0.085 0.087 0.415
0.086 0.584 0.413
0.087 0.085 0.913
0.087 0.585 0.913
0.152 0.845 0.660
0.155 0.848 0.158
0.158 0.340 0.155
0.182 0.315 0.649
0.315 0.182 0.353
0.340 0.158 0.848
0.351 0.647 0.818
0.353 0.649 0.315
0.413 0.417 0.086
0.415 0.913 0.085
0.416 0.914 0.583
0.417 0.413 0.584
0.583 0.587 0.416
0.584 0.086 0.417
0.585 0.087 0.915
0.587 0.583 0.914
0.647 0.351 0.685
0.649 0.353 0.182
0.660 0.842 0.152
0.685 0.818 0.647
0.818 0.685 0.351
0.842 0.660 0.845
0.845 0.152 0.842
0.848 0.155 0.340
0.913 0.415 0.087
0.913 0.915 0.087
0.914 0.416 0.587
0.915 0.913 0.585
```

Calculated values
The formation energy (no corrections) is -1.0928 eV per atom. Its space group is Fddd.



9.
The following is a DFT calculation (PBEsol) of a geometry-optimized Ba3SmInS6 structure.

Cell and atoms, written as POSCAR:
```
Ba3SmInS6
1.0
6.025 3.478 4.604
-6.025 3.478 4.604
0.000 -6.957 4.604
Ba Sm In S
6 2 2 12
direct
0.131 0.750 0.369
0.250 0.631 0.869
0.369 0.131 0.750
0.631 0.869 0.250
0.750 0.369 0.131
0.869 0.250 0.631
0.250 0.250 0.250
0.750 0.750 0.750
0.000 0.000 0.000
0.500 0.500 0.500
0.042 0.911 0.699
0.089 0.301 0.958
0.199 0.411 0.542
0.301 0.958 0.089
0.411 0.542 0.199
0.458 0.801 0.589
0.542 0.199 0.411
0.589 0.458 0.801
0.699 0.042 0.911
0.801 0.589 0.458
0.911 0.699 0.042
0.958 0.089 0.301
```

Calculated values
The formation energy (no corrections) is -1.8243 eV per atom. Its space group is R-3c.



10.
The following is a DFT calculation (PBEsol) of a geometry-optimized Ba5In2Sb6 structure.

Cell and atoms, written as POSCAR:
```
Ba5In2Sb6
1.0
13.322 0.000 0.000
0.000 15.267 0.000
0.000 0.000 4.770
Ba In Sb
10 4 12
direct
0.000 0.000 0.000
0.087 0.252 0.000
0.172 0.518 0.000
0.328 0.018 0.000
0.413 0.752 0.000
0.500 0.500 0.000
0.587 0.248 0.000
0.672 0.982 0.000
0.828 0.482 0.000
0.913 0.748 0.000
0.173 0.711 0.500
0.327 0.211 0.500
0.673 0.789 0.500
0.827 0.289 0.500
0.015 0.407 0.500
0.157 0.096 0.500
0.163 0.818 0.000
0.337 0.318 0.000
0.343 0.596 0.500
0.485 0.907 0.500
0.515 0.093 0.500
0.657 0.404 0.500
0.663 0.682 0.000
0.837 0.182 0.000
0.843 0.904 0.500
0.985 0.593 0.500
```

Calculated values
The formation energy (no corrections) is -0.8272 eV per atom. Its space group is Pbam.



11.
The following is a DFT calculation (PBEsol) of a geometry-optimized BaInSb structure.

Cell and atoms, written as POSCAR:
```
BaInSb
1.0
4.770 0.000 0.000
-2.385 4.131 0.000
0.000 0.000 5.317
Ba In Sb
1 1 1
direct
0.000 0.000 0.000
0.333 0.667 0.617
0.667 0.333 0.401
```

Calculated values
The formation energy (no corrections) is -0.6679 eV per atom. Its space group is P3m1.



12.
The following is a DFT calculation (PBEsol) of a geometry-optimized BaInSb structure.

Cell and atoms, written as POSCAR:
```
BaInSb
1.0
0.000 3.888 3.888
3.888 0.000 3.888
3.888 3.888 0.000
Ba In Sb
1 1 1
direct
0.000 0.000 0.000
0.250 0.250 0.250
0.750 0.750 0.750
```

Calculated values
The formation energy (no corrections) is -0.2397 eV per atom. Its space group is F-43m.